Entry 1:
VASP calculation (SCAN) on a crystal of Hg5Cl relaxed with PBEsol.

Space group: Cm
Energy above the most stable polymorph in this dataset: 0 meV per atom

Unit cell a=6.5842 b=6.5842 c=7.3123 alpha=123.21 beta=123.21 gamma=36.50
Fractional positions:
Hg: 0.0000 0.0000 0.0000
Hg: 0.3490 0.3490 0.6601
Hg: 0.5127 0.5127 0.4878
Hg: 0.6745 0.6745 0.3301
Hg: 0.8352 0.8352 0.1702
Cl: 0.1740 0.1740 0.8290

Entry 2:
VASP calculation (SCAN) on a crystal of HgCl2 relaxed with PBEsol.

Space group: Pnnm

Unit cell a=6.1123 b=6.6273 c=3.8352 alpha=90.00 beta=90.00 gamma=90.00
Fractional positions:
Hg: 0.0000 0.0000 0.0000
Hg: 0.5000 0.5000 0.5000
Cl: 0.2392 0.1449 0.5000
Cl: 0.2608 0.6449 0.0000
Cl: 0.7392 0.3551 0.0000
Cl: 0.7608 0.8551 0.5000

Entry 3:
VASP calculation (SCAN) on a crystal of Hg5Cl relaxed with PBEsol.

Space group: Cmmm
Energy above the most stable polymorph in this dataset: 29 meV per atom

Unit cell a=7.3929 b=7.3929 c=3.7790 alpha=90.00 beta=90.00 gamma=135.64
Fractional positions:
Hg: 0.0000 0.0000 0.0000
Hg: 0.1639 0.8361 0.5000
Hg: 0.3332 0.6668 0.0000
Hg: 0.6668 0.3332 0.0000
Hg: 0.8361 0.1639 0.5000
Cl: 0.5000 0.5000 0.5000

Entry 4:
VASP calculation (SCAN) on a crystal of HgCl2 relaxed with PBEsol.

Space group: I4/mmm

Unit cell a=6.5710 b=6.5710 c=6.5710 alpha=150.44 beta=150.44 gamma=42.29
Fractional positions:
Hg: 0.0000 0.0000 0.0000
Cl: 0.3694 0.3694 0.0000
Cl: 0.6306 0.6306 0.0000

Quick rundown of uncorrected formation energy, same order as above: -0.166, -0.588, -0.136, -0.272 eV/atom